No. 1
Compound: La5Ru2O12
Source: Alexandria via LeMat-Bulk
Functional: PBE
Structure: optimized geometry

* total magnetic moment: 5.01 μB/f.u.
* DFT total energy: -153.44 eV/f.u.

CIF file:
```
data_La5Ru2O12
_chemical_formula_sum 'La10 Ru4 O24'
_cell_length_a 13.006
_cell_length_b 6.051
_cell_length_c 7.838
_cell_angle_alpha 90.00
_cell_angle_beta 107.50
_cell_angle_gamma 90.00
_space_group_name_H-M_alt 'C 1 2/m 1'
_space_group_IT_number 12
_space_group_name_Hall '-C 2y'
loop_
_atom_site_label
_atom_site_fract_x
_atom_site_fract_y
_atom_site_fract_z
La1 0.000 0.000 0.000
La2 0.190 0.500 0.332
La3 0.192 0.500 0.856
Ru1 0.000 0.235 0.500
O1 0.000 0.500 0.332
O2 0.001 0.000 0.683
O3 0.155 0.250 0.078
O4 0.158 0.254 0.578
```

---

No. 2
Compound: LaRuO6
Source: Alexandria via LeMat-Bulk
Functional: PBE
Structure: optimized geometry

* total magnetic moment: 0.30 μB/f.u.
* DFT total energy: -53.68 eV/f.u.

CIF file:
```
data_LaRuO6
_chemical_formula_sum 'La3 Ru3 O18'
_cell_length_a 6.9706
_cell_length_b 6.9706
_cell_length_c 7.0011
_cell_angle_alpha 90.00
_cell_angle_beta 90.00
_cell_angle_gamma 120.00
_space_group_name_H-M_alt 'R -3 m'
_space_group_IT_number 166
_space_group_name_Hall '-R 3 2"'
loop_
_atom_site_label
_atom_site_fract_x
_atom_site_fract_y
_atom_site_fract_z
La1 0.0000 0.0000 0.0000
Ru1 0.0000 0.0000 0.5000
O1 0.0837 0.5419 0.3259
```

---

No. 3
Compound: LaSbRuO
Source: Alexandria via LeMat-Bulk
Functional: PBE
Structure: optimized geometry

* total magnetic moment: 0.00 μB/f.u.
* DFT total energy: -30.24 eV/f.u.

CIF file:
```
data_LaSbRuO
_chemical_formula_sum 'La2 Sb2 Ru2 O2'
_cell_length_a 4.275
_cell_length_b 4.275
_cell_length_c 8.920
_cell_angle_alpha 90.00
_cell_angle_beta 90.00
_cell_angle_gamma 90.00
_space_group_name_H-M_alt 'P 4/n m m'
_space_group_IT_number 129
loop_
_space_group_symop_operation_xyz
'x,y,z'
'-x,-y,-z'
'-y+1/2,x,z'
'y+1/2,-x,-z'
'-x+1/2,-y+1/2,z'
'x+1/2,y+1/2,-z'
'y,-x+1/2,z'
'-y,x+1/2,-z'
'x+1/2,-y,-z'
'-x+1/2,y,z'
'-y,-x,-z'
'y,x,z'
'-x,y+1/2,-z'
'x,-y+1/2,z'
'y+1/2,x+1/2,-z'
'-y+1/2,-x+1/2,z'
loop_
_atom_site_label
_atom_site_fract_x
_atom_site_fract_y
_atom_site_fract_z
La1 0.250 0.250 0.127
Sb1 0.250 0.250 0.665
Ru1 0.250 0.750 0.500
O1 0.250 0.750 0.000
```

---

Number 1: uncorrected formation energy -2.671 eV per atom, mass density 6.15 Mg/m³. Number 2: uncorrected formation energy -1.216 eV per atom, mass density 5.68 Mg/m³. Number 3: uncorrected formation energy -1.739 eV per atom, mass density 7.70 Mg/m³.